A relaxed Mg2CoAsO6 crystal. Source: the Alexandria database, functional PBE with a Hubbard U.

a = 5.109 Å, b = 5.109 Å, c = 4.721 Å
α = 90.00°, β = 90.00°, γ = 90.00°
Element x y z (fractional)
Mg 0.000 0.500 0.000
Mg 0.500 0.000 0.000
Co 0.000 0.000 0.617
As 0.500 0.500 0.665
O 0.000 0.000 0.254
O 0.259 0.259 0.794
O 0.259 0.741 0.794
O 0.500 0.500 0.303
O 0.741 0.259 0.794
O 0.741 0.741 0.794

Summary:
Raw total energy ... -5.829 eV/atom
M_tot ... 4.00 Bohr magnetons per cell